First-principles (PBEsol) data for a relaxed structure of SrMg2In, as listed in the Alexandria database.

abc: 5.302 5.302 5.302
angles: 60.00 60.00 60.00
Element x y z (fractional)
1 Mg 0.750 0.750 0.750
2 Mg 0.000 0.000 0.000
3 In 0.250 0.250 0.250
4 Sr 0.500 0.500 0.500

Results
- space group = F-43m (216)
- calculated density (g/cm3) = 3.96
- calculated formation energy (eV/atom) = -0.210
- uncorrected energy (eV/atom) = -2.2747